1.
Here is a relaxed structure of AlCd2Au from Alexandria via LeMat-Bulk. Energies are from PBE.

Properties
Space-group type = C2/m (12)
Calculated density = 9.39 g/cm³
D(E_F) = 1.99 states/eV per cell
Raw total energy = -2.254 eV per atom

Unit cell a=9.4429 b=3.5695 c=4.8017 alpha=90.00 beta=101.31 gamma=90.00
Fractional positions:
Al1 0.0000 0.0000 0.0000
Al2 0.5000 0.5000 0.0000
Cd1 0.2479 0.0000 0.7495
Cd2 0.2521 0.5000 0.2505
Cd3 0.7479 0.5000 0.7495
Cd4 0.7521 0.0000 0.2505
Au1 0.0000 0.5000 0.5000
Au2 0.5000 0.0000 0.5000

***

2.
Here is a relaxed structure of Al2CdAu from Alexandria via LeMat-Bulk. Energies are from PBE.

Properties
Space-group type = Imm2 (44)
Calculated density = 7.62 g/cm³
D(E_F) = 2.04 states/eV per cell
Raw total energy = -2.976 eV per atom

Unit cell a=2.9254 b=4.3095 c=12.5594 alpha=90.00 beta=90.00 gamma=90.00
Fractional positions:
Al1 0.0000 0.0000 0.0000
Al2 0.0000 0.5000 0.2274
Al3 0.5000 0.0000 0.7274
Al4 0.5000 0.5000 0.5000
Cd1 0.0000 0.0000 0.4014
Cd2 0.5000 0.5000 0.9014
Au1 0.0000 0.5000 0.6782
Au2 0.5000 0.0000 0.1782

***

3.
Here is a relaxed structure of AlCd2Au from Alexandria via LeMat-Bulk. Energies are from PBE.

Properties
Space-group type = I-4m2 (119)
Calculated density = 9.51 g/cm³
D(E_F) = 3.03 states/eV per cell
Raw total energy = -2.230 eV per atom

Unit cell a=4.3158 b=4.3158 c=8.4160 alpha=90.00 beta=90.00 gamma=90.00
Fractional positions:
Al1 0.0000 0.0000 0.0000
Al2 0.5000 0.5000 0.5000
Cd1 0.0000 0.0000 0.5000
Cd2 0.0000 0.5000 0.2500
Cd3 0.5000 0.0000 0.7500
Cd4 0.5000 0.5000 0.0000
Au1 0.0000 0.5000 0.7500
Au2 0.5000 0.0000 0.2500

***

4.
Here is a relaxed structure of AlCd2Au from Alexandria via LeMat-Bulk. Energies are from PBE.

Properties
Space-group type = Cm (8)
Calculated density = 9.25 g/cm³
D(E_F) = 2.36 states/eV per cell
Raw total energy = -2.280 eV per atom

Unit cell a=9.1244 b=3.5576 c=5.0693 alpha=90.00 beta=101.66 gamma=90.00
Fractional positions:
Al1 0.0000 0.0000 0.0000
Al2 0.5000 0.5000 0.0000
Cd1 0.2405 0.0000 0.7121
Cd2 0.4828 0.0000 0.4571
Cd3 0.7405 0.5000 0.7121
Cd4 0.9828 0.5000 0.4571
Au1 0.2286 0.5000 0.1751
Au2 0.7286 0.0000 0.1751

***

5.
Here is a relaxed structure of AlCd3Au from Alexandria via LeMat-Bulk. Energies are from PBE.

Properties
Relative energy among the computed polymorphs = 0 meV/atom
Space-group type = Pm-3m (221)
Calculated density = 6.35 g/cm³
D(E_F) = 1.87 states/eV per cell

Unit cell a=5.2758 b=5.2758 c=5.2758 alpha=90.00 beta=90.00 gamma=90.00
Fractional positions:
Al1 0.0000 0.0000 0.0000
Cd1 0.0000 0.5000 0.5000
Cd2 0.5000 0.0000 0.5000
Cd3 0.5000 0.5000 0.0000
Au1 0.5000 0.5000 0.5000

***

6.
Here is a relaxed structure of CeAlCd2Au4 from Alexandria via LeMat-Bulk. Energies are from PBE.

Properties
Space-group type = R-3m (166)
Calculated density = 11.83 g/cm³
D(E_F) = 7.60 states/eV per cell
Raw total energy = -3.459 eV per atom

Unit cell a=9.1032 b=9.1032 c=9.1032 alpha=29.86 beta=29.86 gamma=29.86
Fractional positions:
Ce1 0.0000 0.0000 0.0000
Al1 0.5000 0.5000 0.5000
Cd1 0.2474 0.2474 0.2474
Cd2 0.7526 0.7526 0.7526
Au1 0.1346 0.1346 0.1346
Au2 0.3935 0.3935 0.3935
Au3 0.6065 0.6065 0.6065
Au4 0.8654 0.8654 0.8654

***

7.
Here is a relaxed structure of CeAlCdAu from Alexandria via LeMat-Bulk. Energies are from PBE.

Properties
Space-group type = F-43m (216)
Calculated density = 9.02 g/cm³
D(E_F) = 21.86 states/eV per cell
Raw total energy = -3.847 eV per atom

Unit cell a=7.0526 b=7.0526 c=7.0526 alpha=90.00 beta=90.00 gamma=90.00
Fractional positions:
Ce1 0.0000 0.0000 0.0000
Ce2 0.0000 0.5000 0.5000
Ce3 0.5000 0.0000 0.5000
Ce4 0.5000 0.5000 0.0000
Al1 0.2500 0.2500 0.2500
Al2 0.2500 0.7500 0.7500
Al3 0.7500 0.2500 0.7500
Al4 0.7500 0.7500 0.2500
Cd1 0.0000 0.0000 0.5000
Cd2 0.0000 0.5000 0.0000
Cd3 0.5000 0.0000 0.0000
Cd4 0.5000 0.5000 0.5000
Au1 0.2500 0.2500 0.7500
Au2 0.2500 0.7500 0.2500
Au3 0.7500 0.2500 0.2500
Au4 0.7500 0.7500 0.7500

***

8.
Here is a relaxed structure of CeAl2CdAu4 from Alexandria via LeMat-Bulk. Energies are from PBE.

Properties
Space-group type = R-3m (166)
Calculated density = 11.14 g/cm³
D(E_F) = 8.05 states/eV per cell
Raw total energy = -3.884 eV per atom

Unit cell a=9.9350 b=9.9350 c=9.9350 alpha=25.76 beta=25.76 gamma=25.76
Fractional positions:
Ce1 0.0000 0.0000 0.0000
Al1 0.2454 0.2454 0.2454
Al2 0.7546 0.7546 0.7546
Cd1 0.5000 0.5000 0.5000
Au1 0.1180 0.1180 0.1180
Au2 0.3935 0.3935 0.3935
Au3 0.6065 0.6065 0.6065
Au4 0.8820 0.8820 0.8820

***

9.
Here is a relaxed structure of CeAl2CdAu2 from Alexandria via LeMat-Bulk. Energies are from PBE.

Properties
Space-group type = P-3m1 (164)
Calculated density = 9.33 g/cm³
D(E_F) = 7.09 states/eV per cell
Raw total energy = -3.967 eV per atom

Unit cell a=4.4991 b=4.4991 c=7.1098 alpha=90.00 beta=90.00 gamma=120.00
Fractional positions:
Ce1 0.0000 0.0000 0.0000
Al1 0.3333 0.6667 0.2890
Al2 0.6667 0.3333 0.7110
Cd1 0.0000 0.0000 0.5000
Au1 0.3333 0.6667 0.7271
Au2 0.6667 0.3333 0.2729

***

10.
Here is a relaxed structure of TaAlCrCdAu from Alexandria via LeMat-Bulk. Energies are from PBE.

Properties
Relative energy among the computed polymorphs = 132 meV/atom
Space-group type = Cm (8)
Calculated density = 11.25 g/cm³
D(E_F) = 5.58 states/eV per cell

Unit cell a=13.9894 b=4.2379 c=2.8560 alpha=90.00 beta=96.99 gamma=90.00
Fractional positions:
Ta1 0.0000 0.0000 0.0000
Ta2 0.5000 0.5000 0.0000
Al1 0.1727 0.0000 0.7293
Al2 0.6727 0.5000 0.7293
Cr1 0.0928 0.5000 0.3040
Cr2 0.5928 0.0000 0.3040
Cd1 0.3866 0.0000 0.4419
Cd2 0.8866 0.5000 0.4419
Au1 0.2788 0.5000 0.8954
Au2 0.7788 0.0000 0.8954

***

11.
Here is a relaxed structure of TaAlCrCdAu from Alexandria via LeMat-Bulk. Energies are from PBE.

Properties
Relative energy among the computed polymorphs = 188 meV/atom
Space-group type = Cm (8)
Calculated density = 11.05 g/cm³
D(E_F) = 7.75 states/eV per cell

Unit cell a=10.4203 b=3.0557 c=7.4342 alpha=90.00 beta=133.72 gamma=90.00
Fractional positions:
Ta1 0.0000 0.0000 0.0000
Ta2 0.5000 0.5000 0.0000
Al1 0.1078 0.5000 0.4188
Al2 0.6078 0.0000 0.4188
Cr1 0.2490 0.0000 0.8139
Cr2 0.7490 0.5000 0.8139
Cd1 0.4193 0.0000 0.5879
Cd2 0.9193 0.5000 0.5879
Au1 0.3046 0.5000 0.1630
Au2 0.8046 0.0000 0.1630

***

12.
Here is a relaxed structure of TaAlCrCdAu from Alexandria via LeMat-Bulk. Energies are from PBE.

Properties
Relative energy among the computed polymorphs = 0 meV/atom
Space-group type = I4mm (107)
Calculated density = 11.32 g/cm³
D(E_F) = 4.19 states/eV per cell

Unit cell a=3.2504 b=3.2504 c=15.8120 alpha=90.00 beta=90.00 gamma=90.00
Fractional positions:
Ta1 0.0000 0.0000 0.0000
Ta2 0.5000 0.5000 0.5000
Al1 0.0000 0.0000 0.1707
Al2 0.5000 0.5000 0.6707
Cr1 0.0000 0.0000 0.5753
Cr2 0.5000 0.5000 0.0753
Cd1 0.0000 0.0000 0.3773
Cd2 0.5000 0.5000 0.8773
Au1 0.0000 0.0000 0.7591
Au2 0.5000 0.5000 0.2591

***

13.
Here is a relaxed structure of TaAlCrCdAu from Alexandria via LeMat-Bulk. Energies are from PBE.

Properties
Relative energy among the computed polymorphs = 247 meV/atom
Space-group type = P1 (1)
Calculated density = 10.47 g/cm³
D(E_F) = 2.76 states/eV per cell

Unit cell a=2.9309 b=4.2032 c=7.3264 alpha=89.90 beta=89.89 gamma=90.00
Fractional positions:
Ta1 0.0000 0.0000 0.0000
Al1 0.0014 0.5011 0.7220
Cr1 0.4999 0.4999 0.0117
Cd1 0.9982 0.4989 0.3347
Au1 0.5020 0.0013 0.6085

***

| no. | total magnetization (μB per atom) |
| --- | --- |
| 1 | 0.00 |
| 2 | 0.00 |
| 3 | 0.00 |
| 4 | 0.00 |
| 5 | 0.00 |
| 6 | 0.09 |
| 7 | 0.15 |
| 8 | 0.07 |
| 9 | 0.15 |
| 10 | 0.00 |
| 11 | 0.00 |
| 12 | 0.01 |
| 13 | 0.00 |